! AcPm8Sm6, optimized geometry, DFT PBE; values from VASP
! Formation energy, eV per formula unit: 2.736
! Density, g cm⁻³: 7.22
! Space group: R-3
&SYSTEM
  ibrav = 0, nat = 15, ntyp = 3
/
ATOMIC_SPECIES
Ac 227.00 Ac.upf
Pm 145.00 Pm.upf
Sm 150.36 Sm.upf
ATOMIC_POSITIONS crystal
Ac 0.000 0.000 0.000
Pm 0.057 0.388 0.857
Pm 0.143 0.943 0.612
Pm 0.234 0.234 0.234
Pm 0.388 0.857 0.057
Pm 0.612 0.143 0.943
Pm 0.766 0.766 0.766
Pm 0.857 0.057 0.388
Pm 0.943 0.612 0.143
Sm 0.170 0.619 0.428
Sm 0.381 0.572 0.830
Sm 0.428 0.170 0.619
Sm 0.572 0.830 0.381
Sm 0.619 0.428 0.170
Sm 0.830 0.381 0.572
CELL_PARAMETERS angstrom
4.953 2.859 6.195
-4.953 2.859 6.195
0.000 -5.719 6.195